No. 1
A plane-wave DFT calculation with GGA-PBE was carried out for an optimized crystal structure of U5Al.

a b c (Å): 8.244 8.244 2.988
angles (deg): 90.00 90.00 143.56
Element x y z (fractional)
U  0.000  0.000  0.000
U  0.154  0.846  0.500
U  0.323  0.677  0.000
U  0.677  0.323  0.000
U  0.846  0.154  0.500
Al  0.500  0.500  0.500

Results
As for the energy of formation: 0.55 eV per formula unit.

---

No. 2
A plane-wave DFT calculation with GGA-PBE was carried out for an optimized crystal structure of UAl4.

a b c (Å): 5.551 5.551 5.551
angles (deg): 90.00 90.00 90.00
Element x y z (fractional)
U  0.000  0.000  0.000
Al  0.000  0.000  0.500
Al  0.000  0.500  0.000
Al  0.500  0.000  0.000
Al  0.500  0.500  0.500

Results
As for the energy of formation: 8.19 eV per formula unit.